Ho4PO3: relaxed, PBE.

* crystal system: tetragonal
* total energy: -7.20 eV/atom
* size of the total moment: 0.01 μB/f.u.

abc: 6.1042 6.1042 6.1042
angles: 130.98 130.98 71.85
Last column: nearest neighbours and their distance in Å.
Sites, in units of the cell vectors:
Ho  0.7623  0.7623  0.0000  5 O 2.35-2.54, 1 P 2.59
Ho  0.5000  0.0000  0.5000  4 O 2.47-2.53, 2 P 2.53
Ho  0.0000  0.5000  0.5000  4 O 2.47-2.53, 2 P 2.53
Ho  0.2377  0.2377  0.0000  5 O 2.35-2.54, 1 P 2.59
O  0.2500  0.7500  0.5000  6 Ho 2.47-2.54
O  0.0000  0.0000  0.0000  6 Ho 2.35-2.53
O  0.7500  0.2500  0.5000  6 Ho 2.47-2.54
P  0.5000  0.5000  0.0000  6 Ho 2.53-2.59